Entry 1:
Mn2AlCr | SCAN | PBEsol geometry

The structure belongs to space group Pm (No. 6); the cell edges are 2.514, 3.918 and 4.722 Å and the angles 90.00°, 103.11° and 90.00°. Symmetry generates all atoms from Mn at (0.000, 0.000, 0.000), Mn at (0.239, 0.500, 0.747), Al at (0.725, 0.500, 0.247) and Cr at (0.424, 0.000, 0.500).

For the formation energy, the calculation gives -0.40 eV/f.u. The total moment is 0.24 μB per formula unit.

=====

Entry 2:
Ba2MgN2 | SCAN | PBEsol geometry

The structure belongs to space group I4/mmm (No. 139); the cell edges are 4.109, 4.109 and 13.856 Å and the angles 90.00°, 90.00° and 90.00°. Symmetry generates all atoms from Ba at (0.000, 0.000, 0.163), Mg at (0.000, 0.000, 0.500) and N at (0.000, 0.000, 0.358).

Its formation energy from raw total energies is -0.5054 eV/atom. The total moment is 0.00 μB per formula unit.

=====

Entry 3:
LiCuRh2 | SCAN | PBEsol geometry

The structure belongs to space group I-4m2 (No. 119); the cell edges are 3.701, 3.701 and 7.263 Å and the angles 90.00°, 90.00° and 90.00°. Symmetry generates all atoms from Li at (0.000, 0.000, 0.000), Cu at (0.000, 0.500, 0.750), Rh at (0.000, 0.000, 0.500) and Rh at (0.000, 0.500, 0.250).

For the formation energy, the calculation gives -0.08 eV/f.u. The total moment is 0.01 μB per formula unit.

=====

Entry 4:
Ba2InI | SCAN | PBEsol geometry

The structure belongs to space group Fm-3m (No. 225); the cell edges are 8.530, 8.530 and 8.530 Å and the angles 90.00°, 90.00° and 90.00°. Symmetry generates all atoms from Ba at (0.250, 0.250, 0.250), In at (0.000, 0.000, 0.000) and I at (0.000, 0.000, 0.500).

Its formation energy from raw total energies is -0.8066 eV/atom. The total moment is 2.03 μB per formula unit.

=====

Entry 5:
TlCuH2Pd | SCAN | PBEsol geometry

The structure belongs to space group P4/mmm (No. 123); the cell edges are 3.654, 3.654 and 5.098 Å and the angles 90.00°, 90.00° and 90.00°. Symmetry generates all atoms from Tl at (0.000, 0.000, 0.000), Cu at (0.500, 0.500, 0.500), H at (0.000, 0.500, 0.500) and Pd at (0.500, 0.500, 0.000).

As for the final energy: -25.080 eV/atom. The total moment is 0.00 μB per formula unit.

=====

Entry 6:
Hf3ScBe | SCAN | PBEsol geometry

The structure belongs to space group Pm-3m (No. 221); the cell edges are 4.710, 4.710 and 4.710 Å and the angles 90.00°, 90.00° and 90.00°. Symmetry generates all atoms from Hf at (0.000, 0.000, 0.500), Sc at (0.500, 0.500, 0.500) and Be at (0.000, 0.000, 0.000).

For the formation energy, the calculation gives 1.95 eV/f.u. The total moment is 0.01 μB per formula unit.

=====

Entry 7:
SrSi2Ag | SCAN | PBEsol geometry

The structure belongs to space group P4/mmm (No. 123); the cell edges are 3.554, 3.554 and 6.616 Å and the angles 90.00°, 90.00° and 90.00°. Symmetry generates all atoms from Sr at (0.000, 0.000, 0.000), Si at (0.500, 0.500, 0.323) and Ag at (0.000, 0.000, 0.500).

Its formation energy from raw total energies is 0.0614 eV/atom. The total moment is 0.00 μB per formula unit.

=====

Entry 8:
MnSbPb2 | SCAN | PBEsol geometry

The structure belongs to space group Cmmm (No. 65); the cell edges are 6.632, 9.025 and 3.364 Å and the angles 90.00°, 90.00° and 90.00°. Symmetry generates all atoms from Mn at (0.000, 0.000, 0.000), Sb at (0.000, 0.500, 0.000) and Pb at (0.250, 0.250, 0.500).

Its formation energy from raw total energies is 0.2043 eV/atom. The total moment is 4.42 μB per formula unit.

=====

Entry 9:
Zr2Al3 | SCAN | PBEsol geometry

The structure belongs to space group Fdd2 (No. 43); the cell edges are 9.548, 13.811 and 5.540 Å and the angles 90.00°, 90.00° and 90.00°. Symmetry generates all atoms from Zr at (0.067, 0.303, 0.000), Al at (0.000, 0.000, 0.367) and Al at (0.068, 0.386, 0.491).

For the formation energy, the calculation gives -2.82 eV/f.u. The total moment is 0.00 μB per formula unit.

=====

Entry 10:
Sr2SiW | SCAN | PBEsol geometry

The structure belongs to space group I-4m2 (No. 119); the cell edges are 4.694, 4.694 and 8.120 Å and the angles 90.00°, 90.00° and 90.00°. Symmetry generates all atoms from Sr at (0.000, 0.000, 0.000), Sr at (0.000, 0.500, 0.250), Si at (0.000, 0.500, 0.750) and W at (0.000, 0.000, 0.500).

Its formation energy from raw total energies is 1.0527 eV/atom. The total moment is 0.00 μB per formula unit.

=====

Entry 11:
Te2PdPb2Cl2O6 | SCAN | PBEsol geometry

The structure belongs to space group P2_1/c (No. 14); the cell edges are 7.874, 5.508 and 12.950 Å and the angles 90.00°, 122.78° and 90.00°. Symmetry generates all atoms from Te at (0.220, 0.003, 0.493), Pd at (0.500, 0.000, 0.000), Pb at (0.156, 0.036, 0.198), Cl at (0.460, 0.600, 0.318), O at (0.030, 0.238, 0.478), O at (0.065, 0.644, 0.836) and O at (0.330, 0.207, 0.420).

Its formation energy from raw total energies is -1.1104 eV/atom. The total moment is 0.00 μB per formula unit.

=====

Entry 12:
MgAgMo2 | SCAN | PBEsol geometry

The structure belongs to space group R-3m (No. 166, hexagonal axes); the cell edges are 2.7684, 2.7684 and 29.3508 Å and the angles 90.00°, 90.00° and 120.00°. Symmetry generates all atoms from Mg at (0.0000, 0.0000, 0.0000), Ag at (0.0000, 0.0000, 0.5000) and Mo at (0.0000, 0.0000, 0.2490).

For the formation energy, the calculation gives 2.05 eV/f.u. The total moment is 0.00 μB per formula unit.

=====

Q: Which value of total moment does entry 1 give?
A: 0.24 μB per formula unit

=====

Q: Look up the total moment of the third one.
A: 0.01 μB per formula unit

=====

Q: Number 3 is which compound?
A: LiCuRh2